No. 1
The following is a DFT calculation (PBE) of crystalline K2AsPb at its relaxed geometry.

Output
* space group: No. 10
* formation energy: -0.080 eV/atom
* energy relative to the lowest polymorph listed for this composition: 0.2342 eV per atom
* DFT total energy: -2.719 eV per atom

Cell and atoms, written as CIF:
```
data_K2AsPb
_cell_length_a 3.278
_cell_length_b 5.372
_cell_length_c 6.924
_cell_angle_alpha 90.00
_cell_angle_beta 90.10
_cell_angle_gamma 90.00
_space_group_name_H-M_alt 'P 1'
_space_group_IT_number 1
loop_
_space_group_symop_operation_xyz
'x,y,z'
loop_
_atom_site_label
_atom_site_type_symbol
_atom_site_fract_x
_atom_site_fract_y
_atom_site_fract_z
K1 K 0.001 0.000 0.228
K2 K 0.999 0.000 0.772
As1 As 0.500 0.500 0.000
Pb1 Pb 0.500 0.500 0.500
```

---

No. 2
The following is a DFT calculation (PBE) of crystalline La8IrRh3Br4 at its relaxed geometry.

Output
* space group: No. 166
* ΔE_f (raw): -1203 meV per atom
* DFT total energy: -6.018 eV per atom

Cell and atoms, written as CIF:
```
data_La8IrRh3Br4
_cell_length_a 9.302
_cell_length_b 9.302
_cell_length_c 9.302
_cell_angle_alpha 53.57
_cell_angle_beta 53.57
_cell_angle_gamma 53.57
_space_group_name_H-M_alt 'P 1'
_space_group_IT_number 1
loop_
_space_group_symop_operation_xyz
'x,y,z'
loop_
_atom_site_label
_atom_site_type_symbol
_atom_site_fract_x
_atom_site_fract_y
_atom_site_fract_z
La1 La 0.232 0.232 0.232
La2 La 0.234 0.731 0.731
La3 La 0.269 0.269 0.766
La4 La 0.269 0.766 0.269
La5 La 0.731 0.234 0.731
La6 La 0.731 0.731 0.234
La7 La 0.766 0.269 0.269
La8 La 0.768 0.768 0.768
Ir1 Ir 0.500 0.500 0.500
Rh1 Rh 0.000 0.000 0.500
Rh2 Rh 0.000 0.500 0.000
Rh3 Rh 0.500 0.000 0.000
Br1 Br 0.000 0.000 0.000
Br2 Br 0.000 0.500 0.500
Br3 Br 0.500 0.000 0.500
Br4 Br 0.500 0.500 0.000
```

---

No. 3
The following is a DFT calculation (PBE) of crystalline CdCuMo3 at its relaxed geometry.

Output
* space group: No. 221
* formation energy: 1.481 eV/atom
* energy relative to the lowest polymorph listed for this composition: 0.0000 eV per atom
* DFT total energy: -6.020 eV per atom

Cell and atoms, written as CIF:
```
data_CdCuMo3
_cell_length_a 4.550
_cell_length_b 4.550
_cell_length_c 4.550
_cell_angle_alpha 90.00
_cell_angle_beta 90.00
_cell_angle_gamma 90.00
_space_group_name_H-M_alt 'P 1'
_space_group_IT_number 1
loop_
_space_group_symop_operation_xyz
'x,y,z'
loop_
_atom_site_label
_atom_site_type_symbol
_atom_site_fract_x
_atom_site_fract_y
_atom_site_fract_z
Cd1 Cd 0.000 0.000 0.000
Cu1 Cu 0.500 0.500 0.500
Mo1 Mo 0.000 0.500 0.500
Mo2 Mo 0.500 0.000 0.500
Mo3 Mo 0.500 0.500 0.000
```

---

No. 4
The following is a DFT calculation (PBE) of crystalline LiPrDy2 at its relaxed geometry.

Output
* space group: No. 123
* formation energy: 0.078 eV/atom
* energy relative to the lowest polymorph listed for this composition: 0.0000 eV per atom
* DFT total energy: -3.896 eV per atom

Cell and atoms, written as CIF:
```
data_LiPrDy2
_cell_length_a 3.681
_cell_length_b 3.681
_cell_length_c 8.755
_cell_angle_alpha 90.00
_cell_angle_beta 90.00
_cell_angle_gamma 90.00
_space_group_name_H-M_alt 'P 1'
_space_group_IT_number 1
loop_
_space_group_symop_operation_xyz
'x,y,z'
loop_
_atom_site_label
_atom_site_type_symbol
_atom_site_fract_x
_atom_site_fract_y
_atom_site_fract_z
Li1 Li 0.000 0.000 0.000
Pr1 Pr 0.000 0.000 0.500
Dy1 Dy 0.500 0.500 0.214
Dy2 Dy 0.500 0.500 0.786
```